DFT (PBE) results for a relaxed LaNd5Sn5 crystal.

Geometry as extended XYZ:
```
11
Lattice="7.258 -3.199 0.000 7.258 3.199 0.000 -2.645 0.000 8.432" Properties=species:S:1:pos:R:3 pbc="T T T"
La 0.000 0.000 0.000
Nd -1.322 0.000 4.216
Nd 4.353 0.000 1.364
Nd 3.095 0.000 5.614
Nd 8.776 0.000 2.818
Nd 7.518 0.000 7.068
Sn 0.218 0.000 6.950
Sn 1.517 0.000 2.859
Sn 7.258 0.000 0.000
Sn 10.354 0.000 5.573
Sn 11.653 0.000 1.482
```

Results
density: 6.16 Mg/m³
energy relative to the elements: -5.362 eV per formula unit

DFT (PBE) results for a relaxed La5Nd5Sn6 crystal.

Geometry as extended XYZ:
```
16
Lattice="6.910 0.000 0.000 0.000 8.169 4.705 0.000 -8.169 4.705" Properties=species:S:1:pos:R:3 pbc="T T T"
La 0.000 0.000 0.000
La 1.739 -2.719 2.434
La 1.739 2.719 2.434
La 5.171 -2.719 2.434
La 5.171 2.719 2.434
Nd 0.000 -1.990 5.998
Nd 0.000 1.990 5.998
Nd 3.455 -6.172 3.571
Nd 3.455 0.000 4.865
Nd 3.455 6.172 3.571
Sn 0.000 -4.949 4.271
Sn 0.000 0.000 3.485
Sn 0.000 4.949 4.271
Sn 3.455 0.000 1.390
Sn 3.455 -3.187 5.301
Sn 3.455 3.187 5.301
```

Results
density: 6.65 Mg/m³
energy relative to the elements: -11.015 eV per formula unit

DFT (PBE) results for a relaxed LaNd2Sn crystal.

Geometry as extended XYZ:
```
4
Lattice="4.197 0.000 0.000 0.000 4.197 0.000 0.000 0.000 7.243" Properties=species:S:1:pos:R:3 pbc="T T T"
La 0.000 0.000 0.000
Nd 2.098 2.098 2.053
Nd 2.098 2.098 5.190
Sn 0.000 0.000 3.622
```

Results
density: 7.11 Mg/m³
energy relative to the lowest polymorph listed for this composition: 0.109 eV per atom
energy relative to the elements: -1.420 eV per formula unit

DFT (PBE) results for a relaxed La3Nd5Sn2 crystal.

Geometry as extended XYZ:
```
20
Lattice="-6.618 7.895 3.339 6.618 -7.895 3.339 6.618 7.895 -3.339" Properties=species:S:1:pos:R:3 pbc="T T T"
La 1.731 3.575 0.000
La 0.000 0.000 1.669
La 8.349 4.321 0.000
La -1.731 3.575 3.339
La 0.000 0.000 5.008
La 4.887 4.321 3.339
Nd 5.406 2.555 0.000
Nd 3.333 0.000 1.669
Nd 6.618 0.000 1.669
Nd 9.903 0.000 1.669
Nd 5.406 -2.555 3.339
Nd 1.211 10.451 0.000
Nd -3.285 7.895 1.669
Nd 0.000 7.895 1.669
Nd 3.285 7.895 1.669
Nd 1.211 5.340 3.339
Sn 4.796 -5.546 3.339
Sn 4.796 5.546 0.000
Sn 1.822 2.349 3.339
Sn 1.822 13.441 0.000
```

Results
density: 6.55 Mg/m³
energy relative to the elements: -1.379 eV per formula unit

DFT (PBE) results for a relaxed La3NdSn crystal.

Geometry as extended XYZ:
```
10
Lattice="2.477 -13.294 0.000 2.477 13.294 0.000 0.000 0.000 4.957" Properties=species:S:1:pos:R:3 pbc="T T T"
La 2.477 11.795 3.718
La 2.477 6.646 3.718
La 2.477 1.530 3.718
La 2.477 -1.530 1.239
La 2.477 -6.646 1.239
La 2.477 -11.795 1.239
Nd 2.477 4.064 1.239
Nd 2.477 -4.064 3.718
Sn 2.477 9.237 1.239
Sn 2.477 -9.237 3.718
```

Results
density: 6.91 Mg/m³
energy relative to the lowest polymorph listed for this composition: 0.000 eV per atom
energy relative to the elements: -1.696 eV per formula unit

DFT (PBE) results for a relaxed La2Nd2Sn crystal.

Geometry as extended XYZ:
```
10
Lattice="5.600 0.000 0.000 -2.800 4.850 0.000 0.000 0.000 12.762" Properties=species:S:1:pos:R:3 pbc="T T T"
La 0.000 0.000 0.000
La 0.000 0.000 6.381
La 0.000 3.233 3.191
La 2.800 1.617 9.572
Nd 0.000 3.233 7.459
Nd 0.000 3.233 11.684
Nd 2.800 1.617 1.078
Nd 2.800 1.617 5.303
Sn 0.000 0.000 3.191
Sn 0.000 0.000 9.572
```

Results
density: 6.56 Mg/m³
energy relative to the lowest polymorph listed for this composition: 0.000 eV per atom
energy relative to the elements: -0.874 eV per formula unit

DFT (PBE) results for a relaxed La2Nd3Sn4 crystal.

Geometry as extended XYZ:
```
18
Lattice="3.628 -8.826 0.000 3.628 8.826 0.000 0.000 0.000 9.198" Properties=species:S:1:pos:R:3 pbc="T T T"
La 3.628 6.887 8.385
La 3.628 1.939 3.786
La 3.628 -1.939 5.412
La 3.628 -6.887 0.813
Nd 0.000 0.000 4.599
Nd 1.814 3.641 6.898
Nd 1.814 -3.641 2.299
Nd 3.628 0.000 0.000
Nd 5.442 3.641 6.898
Nd 5.442 -3.641 2.299
Sn 3.628 5.569 5.128
Sn 1.814 0.520 6.898
Sn 1.814 -0.520 2.299
Sn 3.628 3.256 0.529
Sn 3.628 -3.256 8.669
Sn 5.442 0.520 6.898
Sn 5.442 -0.520 2.299
Sn 3.628 -5.569 4.070
```

Results
density: 6.68 Mg/m³
energy relative to the lowest polymorph listed for this composition: 0.159 eV per atom
energy relative to the elements: -5.709 eV per formula unit

DFT (PBE) results for a relaxed La3NdSn crystal.

Geometry as extended XYZ:
```
10
Lattice="4.167 -7.960 0.000 4.167 7.960 0.000 0.000 0.000 5.378" Properties=species:S:1:pos:R:3 pbc="T T T"
La 2.084 3.980 2.689
La 4.167 5.470 0.000
La 2.690 0.000 2.689
La 2.084 -3.980 2.689
La 5.645 0.000 2.689
La 4.167 -5.470 0.000
Nd 4.167 6.506 2.689
Nd 4.167 -6.506 2.689
Sn 4.167 2.148 0.000
Sn 4.167 -2.148 0.000
```

Results
density: 6.33 Mg/m³
energy relative to the lowest polymorph listed for this composition: 0.497 eV per atom
energy relative to the elements: 0.789 eV per formula unit

DFT (PBE) results for a relaxed La4NdSn crystal.

Geometry as extended XYZ:
```
12
Lattice="6.310 0.000 0.000 0.000 7.062 0.000 -0.140 0.000 8.901" Properties=species:S:1:pos:R:3 pbc="T T T"
La 0.000 0.000 0.000
La 0.000 3.531 0.000
La 2.110 0.052 3.045
La 2.110 3.479 3.045
La 2.844 5.297 8.719
La 3.325 1.766 0.182
La 4.059 3.583 5.857
La 4.059 7.010 5.857
Nd 0.901 1.766 5.934
Nd 5.268 5.297 2.968
Sn 0.883 5.297 5.853
Sn 5.287 1.766 3.048
```

Results
density: 6.85 Mg/m³
energy relative to the lowest polymorph listed for this composition: 0.003 eV per atom
energy relative to the elements: -1.622 eV per formula unit

DFT (PBE) results for a relaxed LaNd12Sn3 crystal.

Geometry as extended XYZ:
```
16
Lattice="4.981 0.000 0.000 0.000 4.981 0.000 0.000 0.000 20.432" Properties=species:S:1:pos:R:3 pbc="T T T"
La 0.000 0.000 0.000
Nd 0.000 2.491 2.782
Nd 0.000 2.491 7.755
Nd 0.000 2.491 12.677
Nd 0.000 2.491 17.650
Nd 2.491 0.000 2.782
Nd 2.491 0.000 7.755
Nd 2.491 0.000 12.677
Nd 2.491 0.000 17.650
Nd 2.491 2.491 0.000
Nd 2.491 2.491 5.303
Nd 2.491 2.491 10.216
Nd 2.491 2.491 15.129
Sn 0.000 0.000 5.250
Sn 0.000 0.000 10.216
Sn 0.000 0.000 15.182
```

Results
density: 7.29 Mg/m³
energy relative to the elements: -5.121 eV per formula unit

DFT (PBE) results for a relaxed LaNd3Sn2 crystal.

Geometry as extended XYZ:
```
6
Lattice="4.670 0.000 0.000 0.000 4.670 0.000 0.000 0.000 8.914" Properties=species:S:1:pos:R:3 pbc="T T T"
La 0.000 0.000 0.000
Nd 0.000 2.335 3.150
Nd 2.335 0.000 5.764
Nd 2.335 2.335 0.000
Sn 0.000 2.335 6.407
Sn 2.335 0.000 2.507
```

Results
density: 6.91 Mg/m³
energy relative to the lowest polymorph listed for this composition: 0.000 eV per atom
energy relative to the elements: -3.432 eV per formula unit

DFT (PBE) results for a relaxed LaNdSnTe crystal.

Geometry as extended XYZ:
```
12
Lattice="4.575 0.000 0.000 -2.288 3.962 0.000 0.000 0.000 22.509" Properties=species:S:1:pos:R:3 pbc="T T T"
La 0.000 0.000 0.000
La 0.000 2.641 15.006
La 2.288 1.321 7.503
Nd 0.000 0.000 11.392
Nd 0.000 2.641 3.889
Nd 2.288 1.321 18.895
Sn 0.000 0.000 5.660
Sn 0.000 2.641 20.666
Sn 2.288 1.321 13.163
Te 0.000 0.000 16.982
Te 0.000 2.641 9.479
Te 2.288 1.321 1.976
```

Results
density: 6.46 Mg/m³
formation energy without anion corrections: -4.6 eV/f.u.

Number 4 is which compound?
La3Nd5Sn2

Please write out number 9 again, unchanged.
DFT (PBE) results for a relaxed La4NdSn crystal.

Geometry as extended XYZ:
```
12
Lattice="6.310 0.000 0.000 0.000 7.062 0.000 -0.140 0.000 8.901" Properties=species:S:1:pos:R:3 pbc="T T T"
La 0.000 0.000 0.000
La 0.000 3.531 0.000
La 2.110 0.052 3.045
La 2.110 3.479 3.045
La 2.844 5.297 8.719
La 3.325 1.766 0.182
La 4.059 3.583 5.857
La 4.059 7.010 5.857
Nd 0.901 1.766 5.934
Nd 5.268 5.297 2.968
Sn 0.883 5.297 5.853
Sn 5.287 1.766 3.048
```

Results
density: 6.85 Mg/m³
energy relative to the lowest polymorph listed for this composition: 0.003 eV per atom
energy relative to the elements: -1.622 eV per formula unit